DFT (GGA+U) results for a relaxed structure of MnFeP2O8.

The structure in CIF format:
```
data_MnFeP2O8
_symmetry_space_group_name_H-M 'P 1'
_symmetry_Int_Tables_number 1
_symmetry_space_group_name_Hall 'P 1'
_cell_length_a 8.601
_cell_length_b 8.601
_cell_length_c 8.601
_cell_angle_alpha 60.08
_cell_angle_beta 60.08
_cell_angle_gamma 60.08
loop_
_atom_site_label
_atom_site_type_symbol
_atom_site_fract_x
_atom_site_fract_y
_atom_site_fract_z
Mn1 Mn 0.000 0.000 0.000
Mn2 Mn 0.145 0.145 0.145
Mn3 Mn 0.501 0.501 0.501
Fe1 Fe 0.357 0.357 0.357
Fe2 Fe 0.647 0.647 0.647
Fe3 Fe 0.857 0.857 0.857
P1 P 0.047 0.755 0.458
P2 P 0.253 0.540 0.959
P3 P 0.458 0.047 0.755
P4 P 0.540 0.959 0.253
P5 P 0.755 0.458 0.047
P6 P 0.959 0.253 0.540
O1 O 0.010 0.815 0.615
O2 O 0.060 0.922 0.260
O3 O 0.090 0.735 0.946
O4 O 0.111 0.323 0.499
O5 O 0.191 0.381 0.996
O6 O 0.245 0.594 0.437
O7 O 0.260 0.060 0.922
O8 O 0.323 0.499 0.111
O9 O 0.381 0.996 0.191
O10 O 0.414 0.556 0.761
O11 O 0.437 0.245 0.594
O12 O 0.492 0.889 0.696
O13 O 0.499 0.111 0.323
O14 O 0.556 0.761 0.414
O15 O 0.594 0.437 0.245
O16 O 0.615 0.010 0.815
O17 O 0.696 0.492 0.889
O18 O 0.735 0.946 0.090
O19 O 0.761 0.414 0.556
O20 O 0.815 0.615 0.010
O21 O 0.889 0.696 0.492
O22 O 0.922 0.260 0.060
O23 O 0.946 0.090 0.735
O24 O 0.996 0.191 0.381
```

Polymorph energy (0 for the lowest one), eV per atom: 0.022
Density, Mg/m³: 3.32
Space-group type: R3